No. 1
The following is a PBE-GGA calculation of La4Si2SeCl after structural relaxation, from Alexandria via LeMat-Bulk.

Unit cell a=7.464 b=7.464 c=7.464 alpha=131.58 beta=131.58 gamma=70.90
Fractional coordinates of all 8 atoms:
La  0.000  0.500  0.500
La  0.248  0.248  0.000
La  0.500  0.000  0.500
La  0.752  0.752  0.000
Si  0.250  0.750  0.500
Si  0.750  0.250  0.500
Se  0.000  0.000  0.000
Cl  0.500  0.500  0.000

Computed properties:
* total DFT energy (no corrections): -5.803 eV per atom
* E_form (uncorrected): -1.317 eV per atom
* D(E_F): 0.3764 states/eV/atom
* symmetry: No. 139


No. 2
The following is a PBE-GGA calculation of AcDyCu2 after structural relaxation, from Alexandria via LeMat-Bulk.

Unit cell a=5.743 b=5.743 c=5.743 alpha=49.86 beta=49.86 gamma=49.86
Fractional coordinates of all 4 atoms:
Ac  0.000  0.000  0.000
Dy  0.500  0.500  0.500
Cu  0.206  0.206  0.206
Cu  0.794  0.794  0.794

Computed properties:
* total DFT energy (no corrections): -4.357 eV per atom
* D(E_F): 0.4972 states/eV/atom
* symmetry: No. 166
* E_form: -131.3 meV per atom
* polymorph energy (0 for the lowest one): 0.0259 eV per atom


No. 3
The following is a PBE-GGA calculation of MoWBr after structural relaxation, from Alexandria via LeMat-Bulk.

Unit cell a=3.280 b=3.280 c=6.303 alpha=90.00 beta=90.00 gamma=120.00
Fractional coordinates of all 3 atoms:
Mo  0.000  0.000  0.000
W  0.667  0.333  0.256
Br  0.333  0.667  0.619

Computed properties:
* total DFT energy (no corrections): -8.030 eV per atom
* E_form (uncorrected): 0.456 eV per atom
* D(E_F): 0.4467 states/eV/atom
* symmetry: No. 156
* polymorph energy (0 for the lowest one): 0.0000 eV per atom


No. 4
The following is a PBE-GGA calculation of CuOs2Ru after structural relaxation, from Alexandria via LeMat-Bulk.

Unit cell a=4.289 b=4.289 c=4.289 alpha=60.00 beta=60.00 gamma=60.00
Fractional coordinates of all 4 atoms:
Cu  0.000  0.000  0.000
Os  0.250  0.250  0.250
Os  0.750  0.750  0.750
Ru  0.500  0.500  0.500

Computed properties:
* total DFT energy (no corrections): -8.324 eV per atom
* D(E_F): 1.3844 states/eV/atom
* symmetry: No. 225
* E_form: 634.0 meV per atom
* polymorph energy (0 for the lowest one): 0.4265 eV per atom


No. 5
The following is a PBE-GGA calculation of Ir4Ru5Rh2 after structural relaxation, from Alexandria via LeMat-Bulk.

Unit cell a=6.724 b=2.704 c=8.834 alpha=90.00 beta=95.75 gamma=90.00
Fractional coordinates of all 11 atoms:
Ir  0.172  0.000  0.394
Ir  0.301  0.000  0.942
Ir  0.699  0.000  0.058
Ir  0.828  0.000  0.606
Ru  0.195  0.500  0.658
Ru  0.441  0.500  0.204
Ru  0.500  0.500  0.500
Ru  0.559  0.500  0.796
Ru  0.805  0.500  0.342
Rh  0.055  0.500  0.139
Rh  0.945  0.500  0.861

Computed properties:
* total DFT energy (no corrections): -8.571 eV per atom
* D(E_F): 1.3903 states/eV/atom
* symmetry: No. 10
* E_form: 204.6 meV per atom


No. 6
The following is a PBE-GGA calculation of NaLiTbCd after structural relaxation, from Alexandria via LeMat-Bulk.

Unit cell a=5.235 b=5.235 c=5.235 alpha=60.00 beta=60.00 gamma=60.00
Fractional coordinates of all 4 atoms:
Na  0.000  0.000  0.000
Li  0.250  0.250  0.250
Tb  0.500  0.500  0.500
Cd  0.750  0.750  0.750

Computed properties:
* total DFT energy (no corrections): -2.156 eV per atom
* D(E_F): 1.1632 states/eV/atom
* symmetry: No. 216
* E_form: 38.4 meV per atom


Question: Among the records above, which one has the lowest total DFT energy (no corrections)?
Answer: Ir4Ru5Rh2